VASP calculation (PBE) on a relaxed KAl2Si crystal.

DOS at the Fermi energy	0.2957	states/eV/atom
crystal system	tetragonal
E_form (uncorrected)	190.8	meV/atom

Cell: 4.2909 4.2909 10.2290 Å, 90.00 90.00 90.00°
With the nearest neighbours (Å) after each atom.
Positions (direct):
Al: 0.0000 0.5000 0.0596  1 Si 3.04, 1 K 3.05, 4 Al 3.27
Al: 0.5000 0.0000 0.9404  1 Si 3.04, 1 K 3.05, 4 Al 3.27
Al: 0.0000 0.0000 0.5000  4 Si 2.60
Al: 0.5000 0.5000 0.5000  4 Si 2.60
K: 0.5000 0.0000 0.2387  1 Al 3.05, 4 Si 3.27
K: 0.0000 0.5000 0.7613  1 Al 3.05, 4 Si 3.27
Si: 0.0000 0.5000 0.3572  4 Al 2.60
Si: 0.5000 0.0000 0.6428  4 Al 2.60